1.
Entry from the Alexandria database: a relaxed PmNd2Er3As6 crystal (PBE).

Calculated values
Fermi-level density of states (states/eV/cell): 1.87
Magnetization (μB/cell): 0.0
E_form (eV per atom): -1.51
Symmetry: C2/m (12)

a b c (Å): 4.175 8.340 9.326
angles (deg): 102.83 102.94 90.00
Fractional positions:
1 As 0.003 0.745 0.005
2 As 0.669 0.076 0.337
3 As 0.997 0.255 0.995
4 As 0.664 0.590 0.328
5 As 0.331 0.924 0.663
6 As 0.336 0.410 0.672
7 Er 0.500 0.500 0.000
8 Er 0.167 0.833 0.333
9 Er 0.833 0.167 0.667
10 Nd 0.834 0.667 0.667
11 Nd 0.166 0.333 0.333
12 Pm 0.500 0.000 0.000

2.
Entry from the Alexandria database: a relaxed LiTa2Br crystal (PBE).

Calculated values
Fermi-level density of states (states/eV/cell): 2.47
Energy above the lowest structure with this stoichiometry (meV/atom): 23
Formation energy (no corrections) (eV per atom): 0.08
Magnetization (μB/cell): 0.0
Symmetry: C2/m (12)

a b c (Å): 7.086 7.086 3.482
angles (deg): 104.14 104.14 28.38
Fractional positions:
1 Li 0.250 0.250 0.250
2 Ta 0.955 0.955 0.955
3 Ta 0.545 0.545 0.545
4 Br 0.750 0.750 0.750

3.
Entry from the Alexandria database: a relaxed TcHg3Br crystal (PBE).

Calculated values
Fermi-level density of states (states/eV/cell): 2.26
Energy above the lowest structure with this stoichiometry (meV/atom): 0
Formation energy (no corrections) (eV per atom): 0.53
Magnetization (μB/cell): 3.2
Symmetry: Pm-3m (221)

a b c (Å): 5.449 5.449 5.449
angles (deg): 90.00 90.00 90.00
Fractional positions:
1 Hg 0.000 0.500 0.000
2 Hg 0.500 0.000 0.000
3 Hg 0.000 0.000 0.500
4 Br 0.500 0.500 0.500
5 Tc 0.000 0.000 0.000

4.
Entry from the Alexandria database: a relaxed RbY2CuHg crystal (PBE).

Calculated values
Fermi-level density of states (states/eV/cell): 4.54
Magnetization (μB/cell): 0.0
E_form (eV per atom): 1.56
Symmetry: P4/mmm (123)

a b c (Å): 5.711 5.556 5.711
angles (deg): 90.00 90.00 90.00
Fractional positions:
1 Hg 0.000 0.500 0.000
2 Cu 0.500 0.500 0.500
3 Y 0.500 0.000 0.000
4 Y 0.000 0.000 0.500
5 Rb 0.000 0.000 0.000

5.
Entry from the Alexandria database: a relaxed MgBeRe3 crystal (PBE).

Calculated values
Fermi-level density of states (states/eV/cell): 4.74
Energy above the lowest structure with this stoichiometry (meV/atom): 0
Magnetization (μB/cell): 0.0
E_form (eV per atom): 0.81
Symmetry: Pm-3m (221)

a b c (Å): 4.204 4.204 4.204
angles (deg): 90.00 90.00 90.00
Fractional positions:
1 Mg 0.500 0.500 0.500
2 Re 0.000 0.000 0.500
3 Re 0.000 0.500 0.000
4 Re 0.500 0.000 0.000
5 Be 0.000 0.000 0.000

6.
Entry from the Alexandria database: a relaxed Li2CaCu crystal (PBE).

Calculated values
Fermi-level density of states (states/eV/cell): 2.31
Energy above the lowest structure with this stoichiometry (meV/atom): 104
Magnetization (μB/cell): 0.0
E_form (eV per atom): 0.07
Symmetry: R-3m (166)

a b c (Å): 5.875 5.875 5.875
angles (deg): 43.16 43.16 43.16
Fractional positions:
1 Li 0.458 0.458 0.458
2 Li 0.042 0.042 0.042
3 Cu 0.750 0.750 0.750
4 Ca 0.250 0.250 0.250

7.
Entry from the Alexandria database: a relaxed SmP2Ir4 crystal (PBE).

Calculated values
Fermi-level density of states (states/eV/cell): 8.25
Magnetization (μB/cell): 0.0
E_form (eV per atom): -0.66
Symmetry: P4_2/mnm (136)

a b c (Å): 3.783 7.649 7.649
angles (deg): 90.00 90.00 90.00
Fractional positions:
1 P 0.500 0.731 0.731
2 P 0.000 0.769 0.231
3 P 0.500 0.269 0.269
4 P 0.000 0.231 0.769
5 Ir 0.000 0.072 0.327
6 Ir 0.000 0.928 0.673
7 Ir 0.500 0.572 0.173
8 Ir 0.000 0.327 0.072
9 Ir 0.000 0.673 0.928
10 Ir 0.500 0.173 0.572
11 Ir 0.500 0.827 0.428
12 Ir 0.500 0.428 0.827
13 Sm 0.500 0.000 0.000
14 Sm 0.000 0.500 0.500

8.
Entry from the Alexandria database: a relaxed KSbAu crystal (PBE).

Calculated values
Fermi-level density of states (states/eV/cell): 2.49
Energy above the lowest structure with this stoichiometry (meV/atom): 386
Formation energy (no corrections) (eV per atom): -0.01
Magnetization (μB/cell): 0.0
Symmetry: Imm2 (44)

a b c (Å): 5.697 5.697 5.697
angles (deg): 145.68 122.85 68.39
Fractional positions:
1 Au 0.974 0.974 0.000
2 K 0.338 0.338 0.000
3 Sb 0.688 0.688 0.000

9.
Entry from the Alexandria database: a relaxed LiNdBe crystal (PBE).

Calculated values
Fermi-level density of states (states/eV/cell): 5.10
Magnetization (μB/cell): 0.0
E_form (eV per atom): 0.11
Symmetry: Cmcm (63)

a b c (Å): 4.006 3.507 9.513
angles (deg): 79.38 90.00 90.00
Fractional positions:
1 Nd 0.750 0.901 0.197
2 Nd 0.250 0.099 0.803
3 Be 0.250 0.474 0.051
4 Be 0.750 0.526 0.949
5 Li 0.750 0.712 0.576
6 Li 0.250 0.288 0.424